Computed, not measured: a relaxed structure of MnIn2NiO at the PBE with a Hubbard U level of DFT.

## Properties
M_tot, μB/f.u.: 5.04
SG: P4/mmm (123)
Density of states at the Fermi level, states/eV per cell: 2.23
E_tot, eV for the cell shown: -17.69

a = 4.7919 Å, b = 4.6259 Å, c = 4.7919 Å
α = 90.00°, β = 90.00°, γ = 90.00°
With the nearest neighbours (Å) after each atom.
Fractional positions:
Ni  0.0000  0.0000  0.0000  2 Mn 2.31, 4 In 2.40
In  0.0000  0.0000  0.5000  2 Ni 2.40
In  0.5000  0.0000  0.0000  2 Ni 2.40
O  0.5000  0.5000  0.5000  8 In 3.33, 4 Mn 3.39
Mn  0.0000  0.5000  0.0000  2 Ni 2.31